Record 1
A plane-wave DFT calculation with PBE was carried out for crystalline Ta2Os at its relaxed geometry.

Values from the calculation:
total DFT energy (no corrections): -0.8582 Ry per atom
density: 17.52 Mg/m³

Structure (POSCAR):
```
Ta2Os
1.0
3.141 0.043 -6.925
-4.680 -5.644 2.017
-2.441 1.632 -1.097
Ta Os
6 3
Cartesian
0.643 0.842 -4.657
-1.121 -4.081 -3.576
-3.997 -2.533 0.648
-1.846 -1.462 -2.545
-1.271 -1.532 0.548
0.853 0.012 -1.880
-2.073 -3.748 -0.964
-1.220 0.816 -0.549
0.534 -1.853 -3.945
```

=====

Record 2
A plane-wave DFT calculation with PBE was carried out for crystalline Ta3Os4 at its relaxed geometry.

Values from the calculation:
total DFT energy (no corrections): -0.8431 Ry per atom
relative energy among the computed polymorphs: 0 meV/atom
density: 19.10 Mg/m³

Structure (POSCAR):
```
Ta3Os4
1.0
-1.588 1.588 11.241
1.588 -1.588 11.241
1.588 1.588 -11.241
Ta Os
3 4
Cartesian
0.000 0.000 0.000
0.000 0.000 6.511
0.000 0.000 15.971
0.000 0.000 9.758
0.000 0.000 3.293
0.000 0.000 19.189
0.000 0.000 12.724
```

=====

Record 3
A plane-wave DFT calculation with PBE was carried out for crystalline Ta2Os at its relaxed geometry.

Values from the calculation:
total DFT energy (no corrections): -0.8689 Ry per atom
density: 18.27 Mg/m³

Structure (POSCAR):
```
Ta2Os
1.0
-4.073 -0.193 -1.880
2.837 -3.453 -0.430
-1.055 -1.167 2.405
Os Ta
1 2
Cartesian
0.000 0.000 0.000
-2.485 -2.071 0.234
0.194 -2.742 -0.139
```

=====

Record 4
A plane-wave DFT calculation with PBE was carried out for crystalline Ta4Os at its relaxed geometry.

Values from the calculation:
total DFT energy (no corrections): -0.8528 Ry per atom
relative energy among the computed polymorphs: 368 meV/atom
density: 16.20 Mg/m³

Structure (POSCAR):
```
Ta4Os
1.0
-5.312 -0.883 -1.220
0.868 -5.450 0.167
0.852 3.132 6.518
Ta Os
8 2
Cartesian
-0.049 0.946 5.293
0.633 -1.773 4.294
-1.489 -4.305 0.641
-0.985 -1.604 1.912
-3.393 -2.039 0.219
-1.573 -3.723 3.778
-2.255 -1.004 4.778
0.919 -3.869 2.334
-3.341 -0.459 2.386
0.000 0.000 0.000
```

=====

| no. | formation energy (kJ/mol of atoms) |
| --- | --- |
| 1 | -3.04 |
| 2 | 2.51 |
| 3 | -17.06 |
| 4 | 12.12 |